(1)
The following is a PBE calculation of a geometry-optimized PAu structure, from Alexandria via LeMat-Bulk.

a = 3.715 Å, b = 4.223 Å, c = 6.085 Å
α = 82.60°, β = 76.38°, γ = 66.83°
Space group P-1 (No. 2)
One atom of each set of equivalent atoms:
1 P 0.063 0.017 0.318 [2 per cell]
2 Au 0.417 0.410 0.245 [2 per cell]

Properties
E above lowest polymorph in meV per atom: 195

***

(2)
The following is a PBE calculation of a geometry-optimized P5Au3 structure, from Alexandria via LeMat-Bulk.

a = 6.794 Å, b = 7.063 Å, c = 8.061 Å
α = 99.33°, β = 112.65°, γ = 98.40°
Space group P1 (No. 1)
One atom of each set of equivalent atoms:
1 P 0.000 0.000 0.000 [1 per cell]
2 P 0.009 0.321 0.372 [1 per cell]
3 P 0.064 0.485 0.180 [1 per cell]
4 P 0.260 0.276 0.127 [1 per cell]
5 P 0.340 0.149 0.727 [1 per cell]
6 P 0.452 0.874 0.673 [1 per cell]
7 P 0.541 0.661 0.096 [1 per cell]
8 P 0.750 0.325 0.686 [1 per cell]
9 P 0.784 0.030 0.723 [1 per cell]
10 P 0.823 0.849 0.491 [1 per cell]
11 Au 0.231 0.790 0.959 [1 per cell]
12 Au 0.368 0.260 0.463 [1 per cell]
13 Au 0.429 0.722 0.359 [1 per cell]
14 Au 0.672 0.404 0.953 [1 per cell]
15 Au 0.819 0.975 0.220 [1 per cell]
16 Au 0.940 0.557 0.581 [1 per cell]

***

(3)
The following is a PBE calculation of a geometry-optimized PAu structure, from Alexandria via LeMat-Bulk.

a = 6.851 Å, b = 6.851 Å, c = 3.860 Å
α = 90.00°, β = 90.00°, γ = 90.00°
Space group P4_2/mnm (No. 136)
One atom of each set of equivalent atoms:
1 P 0.203 0.203 0.000 [4 per cell]
2 Au 0.152 0.848 0.000 [4 per cell]

Properties
E above lowest polymorph in meV per atom: 407

***

(4)
The following is a PBE calculation of a geometry-optimized PAu structure, from Alexandria via LeMat-Bulk.

a = 6.017 Å, b = 3.241 Å, c = 7.742 Å
α = 90.00°, β = 111.99°, γ = 90.00°
Space group C2/m (No. 12)
One atom of each set of equivalent atoms:
1 P 0.200 0.000 0.090 [4 per cell]
2 Au 0.247 0.000 0.648 [4 per cell]

Properties
E above lowest polymorph in meV per atom: 239

***

(5)
The following is a PBE calculation of a geometry-optimized P4Au structure, from Alexandria via LeMat-Bulk.

a = 4.645 Å, b = 4.645 Å, c = 7.672 Å
α = 90.00°, β = 90.00°, γ = 90.00°
Space group I4/mmm (No. 139)
One atom of each set of equivalent atoms:
1 P 0.000 0.000 0.169 [4 per cell]
2 P 0.000 0.500 0.250 [4 per cell]
3 Au 0.000 0.000 0.500 [2 per cell]

Properties
E above lowest polymorph in meV per atom: 0

***

(6)
The following is a PBE calculation of a geometry-optimized PAu structure, from Alexandria via LeMat-Bulk.

a = 3.7077 Å, b = 3.7077 Å, c = 8.9514 Å
α = 90.00°, β = 90.00°, γ = 120.00°
Space group R-3m (No. 166, hexagonal axes)
One atom of each set of equivalent atoms:
1 P 0.0000 0.0000 0.0000 [3 per cell]
2 Au 0.0000 0.0000 0.5000 [3 per cell]

Properties
E above lowest polymorph in meV per atom: 392

***

(7)
The following is a PBE calculation of a geometry-optimized PAu structure, from Alexandria via LeMat-Bulk.

a = 4.504 Å, b = 12.074 Å, c = 4.472 Å
α = 90.00°, β = 90.00°, γ = 90.00°
Space group Pmmn (No. 59, origin choice 2)
One atom of each set of equivalent atoms:
1 P 0.250 0.069 0.064 [4 per cell]
2 P 0.250 0.750 0.389 [2 per cell]
3 Au 0.250 0.250 0.829 [2 per cell]
4 Au 0.250 0.589 0.709 [4 per cell]

Properties
E above lowest polymorph in meV per atom: 317

***

(8)
The following is a PBE calculation of a geometry-optimized P3Au5 structure, from Alexandria via LeMat-Bulk.

a = 8.037 Å, b = 8.608 Å, c = 4.033 Å
α = 90.00°, β = 90.00°, γ = 90.00°
Space group Cmmm (No. 65)
One atom of each set of equivalent atoms:
1 P 0.000 0.000 0.000 [2 per cell]
2 P 0.000 0.299 0.500 [4 per cell]
3 Au 0.000 0.500 0.000 [2 per cell]
4 Au 0.215 0.000 0.500 [4 per cell]
5 Au 0.250 0.250 0.000 [4 per cell]

Properties
E above lowest polymorph in meV per atom: 296

***

(9)
The following is a PBE calculation of a geometry-optimized PAu structure, from Alexandria via LeMat-Bulk.

a = 3.995 Å, b = 3.995 Å, c = 8.589 Å
α = 90.00°, β = 90.00°, γ = 90.00°
Space group I4_1/amd (No. 141, origin choice 2)
One atom of each set of equivalent atoms:
1 P 0.000 0.250 0.375 [4 per cell]
2 Au 0.000 0.250 0.875 [4 per cell]

Properties
E above lowest polymorph in meV per atom: 667

***

(10)
The following is a PBE calculation of a geometry-optimized PAu structure, from Alexandria via LeMat-Bulk.

a = 3.237 Å, b = 3.237 Å, c = 3.237 Å
α = 90.00°, β = 90.00°, γ = 90.00°
Space group Pm-3m (No. 221)
One atom of each set of equivalent atoms:
1 P 0.000 0.000 0.000 [1 per cell]
2 Au 0.500 0.500 0.500 [1 per cell]

Properties
E above lowest polymorph in meV per atom: 671

***

(11)
The following is a PBE calculation of a geometry-optimized PAu structure, from Alexandria via LeMat-Bulk.

a = 2.8885 Å, b = 2.8885 Å, c = 9.6807 Å
α = 90.00°, β = 90.00°, γ = 120.00°
Space group P-3m1 (No. 164)
One atom of each set of equivalent atoms:
1 P 0.3333 0.6667 0.1485 [2 per cell]
2 Au 0.3333 0.6667 0.6307 [2 per cell]

Properties
E above lowest polymorph in meV per atom: 634

***

(12)
The following is a PBE calculation of a geometry-optimized P2Au3 structure, from Alexandria via LeMat-Bulk.

a = 4.3194 Å, b = 4.3194 Å, c = 5.7487 Å
α = 90.00°, β = 90.00°, γ = 120.00°
Space group P-3m1 (No. 164)
One atom of each set of equivalent atoms:
1 P 0.3333 0.6667 0.2824 [2 per cell]
2 Au 0.0000 0.0000 0.5000 [1 per cell]
3 Au 0.3333 0.6667 0.8432 [2 per cell]

***

(13)
The following is a PBE calculation of a geometry-optimized PAu structure, from Alexandria via LeMat-Bulk.

a = 9.008 Å, b = 9.008 Å, c = 4.552 Å
α = 90.00°, β = 90.00°, γ = 90.00°
Space group I4/m (No. 87)
One atom of each set of equivalent atoms:
1 P 0.166 0.314 0.000 [8 per cell]
2 Au 0.075 0.268 0.500 [8 per cell]

Properties
E above lowest polymorph in meV per atom: 262

***

(14)
The following is a PBE calculation of a geometry-optimized P5Au structure, from Alexandria via LeMat-Bulk.

a = 2.509 Å, b = 2.509 Å, c = 15.676 Å
α = 90.00°, β = 90.00°, γ = 90.00°
Space group P4/mmm (No. 123)
One atom of each set of equivalent atoms:
1 P 0.000 0.000 0.000 [1 per cell]
2 P 0.000 0.000 0.328 [2 per cell]
3 P 0.500 0.500 0.170 [2 per cell]
4 Au 0.500 0.500 0.500 [1 per cell]

Properties
E above lowest polymorph in meV per atom: 604

***

(15)
The following is a PBE calculation of a geometry-optimized P5Au structure, from Alexandria via LeMat-Bulk.

a = 10.814 Å, b = 3.529 Å, c = 5.064 Å
α = 90.00°, β = 92.28°, γ = 90.00°
Space group C2/m (No. 12)
One atom of each set of equivalent atoms:
1 P 0.000 0.000 0.000 [2 per cell]
2 P 0.170 0.500 0.024 [4 per cell]
3 P 0.178 0.500 0.470 [4 per cell]
4 Au 0.000 0.000 0.500 [2 per cell]

Properties
E above lowest polymorph in meV per atom: 0

***

(16)
The following is a PBE calculation of a geometry-optimized PAu structure, from Alexandria via LeMat-Bulk.

a = 5.960 Å, b = 7.028 Å, c = 3.636 Å
α = 90.00°, β = 90.00°, γ = 90.00°
Space group Cmmm (No. 65)
One atom of each set of equivalent atoms:
1 P 0.184 0.000 0.000 [4 per cell]
2 Au 0.250 0.250 0.500 [4 per cell]

Properties
E above lowest polymorph in meV per atom: 201

***

(17)
The following is a PBE calculation of a geometry-optimized PAu structure, from Alexandria via LeMat-Bulk.

a = 3.3659 Å, b = 3.3659 Å, c = 20.6737 Å
α = 90.00°, β = 90.00°, γ = 120.00°
Space group R-3m (No. 166, hexagonal axes)
One atom of each set of equivalent atoms:
1 P 0.0000 0.0000 0.1345 [6 per cell]
2 Au 0.0000 0.0000 0.3849 [6 per cell]

Properties
E above lowest polymorph in meV per atom: 229

***

(18)
The following is a PBE calculation of a geometry-optimized PAu structure, from Alexandria via LeMat-Bulk.

a = 3.7955 Å, b = 3.7955 Å, c = 6.9083 Å
α = 90.00°, β = 90.00°, γ = 120.00°
Space group P6_3mc (No. 186)
One atom of each set of equivalent atoms:
1 P 0.3333 0.6667 0.0000 [2 per cell]
2 Au 0.3333 0.6667 0.3509 [2 per cell]

Properties
E above lowest polymorph in meV per atom: 426

***

(19)
The following is a PBE calculation of a geometry-optimized PaPAu structure, from Alexandria via LeMat-Bulk.

a = 4.5450 Å, b = 4.5450 Å, c = 24.4310 Å
α = 90.00°, β = 90.00°, γ = 120.00°
Space group R-3m (No. 166, hexagonal axes)
One atom of each set of equivalent atoms:
1 Pa 0.0000 0.0000 0.2369 [6 per cell]
2 P 0.0000 0.0000 0.1249 [6 per cell]
3 Au 0.0000 0.0000 0.3640 [6 per cell]

***

(20)
The following is a PBE calculation of a geometry-optimized PaP2Au structure, from Alexandria via LeMat-Bulk.

a = 4.2540 Å, b = 4.2540 Å, c = 21.4877 Å
α = 90.00°, β = 90.00°, γ = 120.00°
Space group R-3m (No. 166, hexagonal axes)
One atom of each set of equivalent atoms:
1 Pa 0.0000 0.0000 0.0000 [3 per cell]
2 P 0.0000 0.0000 0.3918 [6 per cell]
3 Au 0.0000 0.0000 0.5000 [3 per cell]

***

(21)
The following is a PBE calculation of a geometry-optimized PaP2Au structure, from Alexandria via LeMat-Bulk.

a = 4.459 Å, b = 4.459 Å, c = 3.654 Å
α = 90.00°, β = 90.00°, γ = 90.00°
Space group P4/mmm (No. 123)
One atom of each set of equivalent atoms:
1 Pa 0.000 0.000 0.000 [1 per cell]
2 P 0.000 0.500 0.500 [2 per cell]
3 Au 0.500 0.500 0.000 [1 per cell]

***

(22)
The following is a PBE calculation of a geometry-optimized PaPAu structure, from Alexandria via LeMat-Bulk.

a = 3.675 Å, b = 3.675 Å, c = 9.451 Å
α = 90.00°, β = 90.00°, γ = 90.00°
Space group I4mm (No. 107)
One atom of each set of equivalent atoms:
1 Pa 0.000 0.000 0.000 [2 per cell]
2 P 0.000 0.000 0.613 [2 per cell]
3 Au 0.000 0.000 0.316 [2 per cell]

***

(23)
The following is a PBE calculation of a geometry-optimized P2PbAu structure, from Alexandria via LeMat-Bulk.

a = 3.435 Å, b = 3.435 Å, c = 7.276 Å
α = 90.00°, β = 90.00°, γ = 90.00°
Space group P4mm (No. 99)
One atom of each set of equivalent atoms:
1 P 0.000 0.000 0.000 [1 per cell]
2 P 0.500 0.500 0.043 [1 per cell]
3 Pb 0.500 0.500 0.426 [1 per cell]
4 Au 0.000 0.000 0.669 [1 per cell]

***

(24)
The following is a PBE calculation of a geometry-optimized P2PbAu structure, from Alexandria via LeMat-Bulk.

a = 3.927 Å, b = 6.137 Å, c = 7.337 Å
α = 90.00°, β = 90.00°, γ = 90.00°
Space group Cmmm (No. 65)
One atom of each set of equivalent atoms:
1 P 0.000 0.000 0.205 [4 per cell]
2 Pb 0.000 0.500 0.500 [2 per cell]
3 Au 0.000 0.500 0.000 [2 per cell]

***

(25)
The following is a PBE calculation of a geometry-optimized P2PbAu structure, from Alexandria via LeMat-Bulk.

a = 11.171 Å, b = 3.324 Å, c = 5.332 Å
α = 90.00°, β = 110.76°, γ = 90.00°
Space group C2/m (No. 12)
One atom of each set of equivalent atoms:
1 P 0.230 0.000 0.119 [4 per cell]
2 Pb 0.000 0.500 0.500 [2 per cell]
3 Au 0.000 0.000 0.000 [2 per cell]

***

(26)
The following is a PBE calculation of a geometry-optimized PPb2Au structure, from Alexandria via LeMat-Bulk.

a = 4.139 Å, b = 4.150 Å, c = 5.964 Å
α = 90.00°, β = 90.27°, γ = 90.00°
Space group P2/m (No. 10)
One atom of each set of equivalent atoms:
1 P 0.000 0.000 0.000 [1 per cell]
2 Pb 0.000 0.000 0.500 [1 per cell]
3 Pb 0.500 0.500 0.000 [1 per cell]
4 Au 0.500 0.500 0.500 [1 per cell]

***

(27)
The following is a PBE calculation of a geometry-optimized PPb2Au structure, from Alexandria via LeMat-Bulk.

a = 4.0575 Å, b = 4.0575 Å, c = 21.5057 Å
α = 90.00°, β = 90.00°, γ = 120.00°
Space group R3m (No. 160, hexagonal axes)
One atom of each set of equivalent atoms:
1 P 0.0000 0.0000 0.0000 [3 per cell]
2 Pb 0.0000 0.0000 0.5297 [3 per cell]
3 Pb 0.0000 0.0000 0.7426 [3 per cell]
4 Au 0.0000 0.0000 0.2772 [3 per cell]

***

| no. | energy of formation (kJ/mol of atoms) |
| --- | --- |
| 1 | 6.44 |
| 2 | 13.43 |
| 3 | 26.97 |
| 4 | 10.71 |
| 5 | 35.65 |
| 6 | 25.53 |
| 7 | 18.23 |
| 8 | 36.96 |
| 9 | 52.07 |
| 10 | 52.40 |
| 11 | 48.79 |
| 12 | 29.74 |
| 13 | 12.92 |
| 14 | 69.27 |
| 15 | 11.01 |
| 16 | 7.05 |
| 17 | 9.73 |
| 18 | 28.74 |
| 19 | -55.33 |
| 20 | -46.17 |
| 21 | -66.29 |
| 22 | -50.97 |
| 23 | 14.78 |
| 24 | 43.26 |
| 25 | -6.77 |
| 26 | 8.52 |
| 27 | 8.89 |